Record 1
Density functional theory data (GGA-PBEsol) for an optimized crystal structure of HgAs2BrO.

Calculated values
DOS(E_F), states/eV per atom: 1.915
Uncorrected formation energy, eV per atom: 1.371
Uncorrected energy, eV per atom: -2.21

Structure (CIF):
```
data_HgAs2BrO
_cell_length_a 5.132
_cell_length_b 5.132
_cell_length_c 5.484
_cell_angle_alpha 90.00
_cell_angle_beta 90.00
_cell_angle_gamma 90.00
_space_group_name_H-M_alt 'P 4/m m m'
_space_group_IT_number 123
_space_group_name_Hall '-P 4 2'
loop_
_atom_site_label
_atom_site_fract_x
_atom_site_fract_y
_atom_site_fract_z
Hg1 0.000 0.000 0.000
As1 0.000 0.500 0.000
Br1 0.000 0.000 0.500
O1 0.500 0.500 0.500
```

=====

Record 2
Density functional theory data (GGA-PBEsol) for an optimized crystal structure of HgAsPBr2.

Calculated values
DOS(E_F), states/eV per atom: 0.799
Uncorrected formation energy, eV per atom: 0.951
Uncorrected energy, eV per atom: -2.09

Structure (CIF):
```
data_HgAsPBr2
_cell_length_a 5.276
_cell_length_b 5.276
_cell_length_c 5.333
_cell_angle_alpha 90.00
_cell_angle_beta 90.00
_cell_angle_gamma 90.00
_space_group_name_H-M_alt 'P 4/m m m'
_space_group_IT_number 123
_space_group_name_Hall '-P 4 2'
loop_
_atom_site_label
_atom_site_fract_x
_atom_site_fract_y
_atom_site_fract_z
Hg1 0.000 0.000 0.000
As1 0.000 0.000 0.500
P1 0.500 0.500 0.500
Br1 0.000 0.500 0.000
```

=====

Record 3
Density functional theory data (GGA-PBEsol) for an optimized crystal structure of HgAsPdBr2.

Calculated values
DOS(E_F), states/eV per atom: 1.201
Uncorrected formation energy, eV per atom: 0.883
Uncorrected energy, eV per atom: -2.19

Structure (CIF):
```
data_HgAsPdBr2
_cell_length_a 5.345
_cell_length_b 5.345
_cell_length_c 5.144
_cell_angle_alpha 90.00
_cell_angle_beta 90.00
_cell_angle_gamma 90.00
_space_group_name_H-M_alt 'P 4/m m m'
_space_group_IT_number 123
_space_group_name_Hall '-P 4 2'
loop_
_atom_site_label
_atom_site_fract_x
_atom_site_fract_y
_atom_site_fract_z
Hg1 0.000 0.000 0.000
As1 0.000 0.000 0.500
Pd1 0.500 0.500 0.500
Br1 0.000 0.500 0.000
```

=====

Record 4
Density functional theory data (GGA-PBEsol) for an optimized crystal structure of Rb2HgAsBr6.

Calculated values
DOS(E_F), states/eV per atom: 0.239
Uncorrected formation energy, eV per atom: -0.927
Uncorrected energy, eV per atom: -2.82

Structure (CIF):
```
data_Rb2HgAsBr6
_cell_length_a 10.974
_cell_length_b 10.974
_cell_length_c 10.974
_cell_angle_alpha 90.00
_cell_angle_beta 90.00
_cell_angle_gamma 90.00
_space_group_name_H-M_alt 'F m -3 m'
_space_group_IT_number 225
_space_group_name_Hall '-F 4 2 3'
loop_
_atom_site_label
_atom_site_fract_x
_atom_site_fract_y
_atom_site_fract_z
Rb1 0.250 0.250 0.250
Hg1 0.000 0.000 0.000
As1 0.000 0.000 0.500
Br1 0.000 0.000 0.260
```

=====

Record 5
Density functional theory data (GGA-PBEsol) for an optimized crystal structure of HgAs2RhBr.

Calculated values
DOS(E_F), states/eV per atom: 1.080
Uncorrected formation energy, eV per atom: 1.469
Uncorrected energy, eV per atom: -2.69

Structure (CIF):
```
data_HgAs2RhBr
_cell_length_a 5.013
_cell_length_b 5.013
_cell_length_c 5.297
_cell_angle_alpha 90.00
_cell_angle_beta 90.00
_cell_angle_gamma 90.00
_space_group_name_H-M_alt 'P 4/m m m'
_space_group_IT_number 123
_space_group_name_Hall '-P 4 2'
loop_
_atom_site_label
_atom_site_fract_x
_atom_site_fract_y
_atom_site_fract_z
Hg1 0.000 0.000 0.000
As1 0.000 0.500 0.000
Rh1 0.500 0.500 0.500
Br1 0.000 0.000 0.500
```

=====

Record 6
Density functional theory data (GGA-PBEsol) for an optimized crystal structure of Hg2AsRuBr.

Calculated values
DOS(E_F), states/eV per atom: 1.030
Uncorrected formation energy, eV per atom: 0.833
Uncorrected energy, eV per atom: -2.82

Structure (CIF):
```
data_Hg2AsRuBr
_cell_length_a 5.293
_cell_length_b 5.293
_cell_length_c 4.546
_cell_angle_alpha 90.00
_cell_angle_beta 90.00
_cell_angle_gamma 90.00
_space_group_name_H-M_alt 'P 4/m m m'
_space_group_IT_number 123
_space_group_name_Hall '-P 4 2'
loop_
_atom_site_label
_atom_site_fract_x
_atom_site_fract_y
_atom_site_fract_z
Hg1 0.000 0.500 0.000
As1 0.000 0.000 0.500
Ru1 0.500 0.500 0.000
Br1 0.500 0.500 0.500
```

=====

Record 7
Density functional theory data (GGA-PBEsol) for an optimized crystal structure of Hg3AsSe4Br.

Calculated values
Uncorrected formation energy, eV per atom: -0.229
Uncorrected energy, eV per atom: -2.90

Structure (CIF):
```
data_Hg3AsSe4Br
_cell_length_a 7.7510
_cell_length_b 7.7510
_cell_length_c 9.3091
_cell_angle_alpha 90.00
_cell_angle_beta 90.00
_cell_angle_gamma 120.00
_space_group_name_H-M_alt 'P 63 m c'
_space_group_IT_number 186
_space_group_name_Hall 'P 6c -2c'
loop_
_atom_site_label
_atom_site_fract_x
_atom_site_fract_y
_atom_site_fract_z
Hg1 0.0045 0.5022 0.0000
As1 0.0000 0.0000 0.0208
Se1 0.1499 0.2998 0.3745
Se2 0.3333 0.6667 0.1445
Br1 0.3333 0.6667 0.7161
```

=====

Record 8
Density functional theory data (GGA-PBEsol) for an optimized crystal structure of SiHgAs2Br.

Calculated values
DOS(E_F), states/eV per atom: 0.915
Uncorrected formation energy, eV per atom: 0.470
E above lowest polymorph, eV per atom: 0.0000
Uncorrected energy, eV per atom: -3.21

Structure (CIF):
```
data_SiHgAs2Br
_cell_length_a 4.812
_cell_length_b 4.812
_cell_length_c 5.002
_cell_angle_alpha 90.00
_cell_angle_beta 90.00
_cell_angle_gamma 90.00
_space_group_name_H-M_alt 'P 4/m m m'
_space_group_IT_number 123
_space_group_name_Hall '-P 4 2'
loop_
_atom_site_label
_atom_site_fract_x
_atom_site_fract_y
_atom_site_fract_z
Si1 0.000 0.000 0.000
Hg1 0.500 0.500 0.500
As1 0.000 0.500 0.000
Br1 0.000 0.000 0.500
```